<1>
Material: YRuS2Cl
Method: DFT, PBE
State: relaxed

The structure in POSCAR format:
```
YRuS2Cl
1.0
5.2548 0.0000 0.0000
0.0000 5.2548 0.0000
0.0000 0.0000 5.1017
Y Ru S Cl
1 1 2 1
Cartesian
0.0000 0.0000 0.0000
2.6274 2.6274 2.5509
0.0000 2.6274 0.0000
2.6274 0.0000 0.0000
0.0000 0.0000 2.5509
```

Calculated values
The calculation puts the volume at 141 Å³/cell. Its magnetic moment is 3.45 μB/f.u. As for the crystal system: tetragonal. Its symmetry is P4/mmm (123).

---

<2>
Material: YRuS2Cl
Method: DFT, PBE
State: relaxed

The structure in POSCAR format:
```
YRuS2Cl
1.0
4.6802 0.0000 0.0000
0.0000 4.6802 0.0000
0.0000 0.0000 4.6333
Y Ru S Cl
1 1 2 1
Cartesian
0.0000 0.0000 0.0000
2.3401 2.3401 2.3167
0.0000 2.3401 2.3167
2.3401 0.0000 2.3167
2.3401 2.3401 0.0000
```

Calculated values
The calculation puts the volume at 101 Å³/cell. Its magnetic moment is 0.13 μB/f.u. As for the crystal system: tetragonal. Its symmetry is P4/mmm (123).

---

Stability, highest: <2>

---

<1>
Material: YRuSCl2
Method: DFT, PBE
State: relaxed

The structure in POSCAR format:
```
YRuSCl2
1.0
4.6486 0.0000 0.0000
0.0000 4.6486 0.0000
0.0000 0.0000 4.7984
Y Ru S Cl
1 1 1 2
Cartesian
0.0000 0.0000 0.0000
2.3243 2.3243 2.3992
2.3243 2.3243 0.0000
0.0000 2.3243 2.3992
2.3243 0.0000 2.3992
```

Calculated values
The calculation puts the volume at 104 Å³/cell. Its magnetic moment is 0.00 μB/f.u. As for the crystal system: tetragonal. Its symmetry is P4/mmm (123).

---

<2>
Material: YRuSCl2
Method: DFT, PBE
State: relaxed

The structure in POSCAR format:
```
YRuSCl2
1.0
5.1890 0.0000 0.0000
0.0000 5.1890 0.0000
0.0000 0.0000 5.3401
Y Ru S Cl
1 1 1 2
Cartesian
0.0000 0.0000 0.0000
2.5945 2.5945 2.6700
0.0000 0.0000 2.6700
0.0000 2.5945 0.0000
2.5945 0.0000 0.0000
```

Calculated values
The calculation puts the volume at 144 Å³/cell. Its magnetic moment is 3.05 μB/f.u. As for the crystal system: tetragonal. Its symmetry is P4/mmm (123).

---

Stability, highest: <1>

---

<1>
Material: ZnRuSCl2
Method: DFT, PBE
State: relaxed

The structure in POSCAR format:
```
ZnRuSCl2
1.0
4.9510 0.0000 0.0000
0.0000 4.9510 0.0000
0.0000 0.0000 4.4282
Zn Ru S Cl
1 1 1 2
Cartesian
0.0000 0.0000 0.0000
2.4755 2.4755 2.2141
2.4755 2.4755 0.0000
0.0000 2.4755 2.2141
2.4755 0.0000 2.2141
```

Calculated values
The calculation puts the volume at 109 Å³/cell. Its magnetic moment is 0.00 μB/f.u. As for the crystal system: tetragonal. Its symmetry is P4/mmm (123).

---

<2>
Material: ZnRuSCl2
Method: DFT, PBE
State: relaxed

The structure in POSCAR format:
```
ZnRuSCl2
1.0
4.7027 0.0000 0.0000
0.0000 4.7027 0.0000
0.0000 0.0000 4.9243
Zn Ru S Cl
1 1 1 2
Cartesian
0.0000 0.0000 0.0000
2.3513 2.3513 2.4621
0.0000 0.0000 2.4621
0.0000 2.3513 0.0000
2.3513 0.0000 0.0000
```

Calculated values
The calculation puts the volume at 109 Å³/cell. Its magnetic moment is 4.00 μB/f.u. As for the crystal system: tetragonal. Its symmetry is P4/mmm (123).

---

Stability, highest: <1>

---

<1>
Material: Sb2Ru2Cl
Method: DFT, PBE
State: relaxed

The structure in POSCAR format:
```
Sb2Ru2Cl
1.0
-2.2114 2.2114 5.4956
2.2114 -2.2114 5.4956
2.2114 2.2114 -5.4956
Sb Ru Cl
2 2 1
Cartesian
2.2114 0.0000 2.7478
0.0000 2.2114 2.7478
0.0000 0.0000 1.2865
0.0000 0.0000 9.7046
0.0000 0.0000 5.4956
```

Calculated values
The calculation puts the volume at 107 Å³/cell. Its magnetic moment is 0.00 μB/f.u. As for the crystal system: tetragonal. Its symmetry is I4/mmm (139).

---

<2>
Material: Sb2Ru2Cl
Method: DFT, PBE
State: relaxed

The structure in POSCAR format:
```
Sb2Ru2Cl
1.0
7.7588 0.0000 0.0000
0.0000 7.7588 0.0000
0.0000 0.0000 3.1225
Sb Ru Cl
4 4 2
Cartesian
1.1699 2.7095 0.0000
2.7095 6.5888 0.0000
5.0493 1.1699 0.0000
6.5888 5.0493 0.0000
1.0692 4.9486 1.5612
2.8102 1.0692 1.5612
4.9486 6.6896 1.5612
6.6896 2.8102 1.5612
0.0000 0.0000 1.5612
3.8794 3.8794 1.5612
```

Calculated values
The calculation puts the volume at 188 Å³/cell. Its magnetic moment is 0.00 μB/f.u. As for the crystal system: tetragonal. Its symmetry is P4/mbm (127).

---

Stability, highest: <2>

---

<1>
Material: SbRu2Cl
Method: DFT, PBE
State: relaxed

The structure in POSCAR format:
```
SbRu2Cl
1.0
3.0667 0.0000 0.0000
0.0000 4.2611 0.0000
-0.0903 0.0000 5.2181
Sb Ru Cl
1 2 1
Cartesian
0.0000 0.0000 0.0000
0.7963 2.1306 3.7846
2.1801 2.1306 1.4336
1.4882 0.0000 2.6091
```

Calculated values
The calculation puts the volume at 68 Å³/cell. Its magnetic moment is 0.00 μB/f.u. As for the crystal system: monoclinic. Its symmetry is P2/m (10).

---

<2>
Material: SbRu2Cl
Method: DFT, PBE
State: relaxed

The structure in POSCAR format:
```
SbRu2Cl
1.0
3.0582 0.0000 0.0000
0.0000 3.8769 0.0000
0.0000 0.0000 5.7410
Sb Ru Cl
1 2 1
Cartesian
0.0000 0.0000 0.0000
0.0000 0.0000 2.8919
1.5291 1.9385 4.5868
1.5291 1.9385 2.2958
```

Calculated values
The calculation puts the volume at 68 Å³/cell. Its magnetic moment is 0.00 μB/f.u. As for the crystal system: orthorhombic. Its symmetry is Pmm2 (25).

---

<3>
Material: SbRu2Cl
Method: DFT, PBE
State: relaxed

The structure in POSCAR format:
```
SbRu2Cl
1.0
-2.2538 2.2538 7.5612
2.2538 -2.2538 7.5612
2.2538 2.2538 -7.5612
Sb Ru Cl
2 4 2
Cartesian
0.0000 0.0000 0.0000
0.0000 2.2538 3.7806
1.1269 -0.7734 5.6709
1.4803 1.1269 1.8903
1.1269 3.0272 -1.8903
0.7734 1.1269 9.4515
2.2538 0.0000 3.7806
0.0000 0.0000 7.5612
```

Calculated values
The calculation puts the volume at 154 Å³/cell. Its magnetic moment is 0.00 μB/f.u. As for the crystal system: tetragonal. Its symmetry is I-42d (122).

---

<4>
Material: SbRu2Cl
Method: DFT, PBE
State: relaxed

The structure in POSCAR format:
```
SbRu2Cl
1.0
2.9343 0.0000 0.0000
0.0000 3.5827 0.0000
-1.3451 0.0000 7.8739
Sb Ru Cl
1 2 1
Cartesian
0.0000 0.0000 0.0000
0.1220 1.7913 6.2080
1.5895 0.0000 4.9991
1.5903 1.7913 3.2972
```

Calculated values
The calculation puts the volume at 83 Å³/cell. Its magnetic moment is 0.00 μB/f.u. As for the crystal system: monoclinic. Its symmetry is Pm (6).

---

Stability, highest: <4>

---

<1>
Material: SbRu2Cl
Method: DFT, PBE
State: relaxed

The structure in POSCAR format:
```
SbRu2Cl
1.0
0.0000 3.2031 3.2031
3.2031 0.0000 3.2031
3.2031 3.2031 0.0000
Sb Ru Cl
1 2 1
Cartesian
0.0000 0.0000 0.0000
1.6016 1.6016 1.6016
4.8047 4.8047 4.8047
3.2031 3.2031 3.2031
```

Calculated values
The calculation puts the volume at 66 Å³/cell. Its magnetic moment is 0.00 μB/f.u. As for the crystal system: cubic. Its symmetry is Fm-3m (225).

---

<2>
Material: SbRu2Cl
Method: DFT, PBE
State: relaxed

The structure in POSCAR format:
```
SbRu2Cl
1.0
-1.5042 2.6911 4.2611
1.5042 -2.6911 4.2611
1.5042 2.6911 -4.2611
Sb Ru Cl
1 2 1
Cartesian
0.0000 0.0000 0.0000
1.5042 0.0000 2.1199
0.0000 2.6911 2.1412
0.0000 0.0000 4.2611
```

Calculated values
The calculation puts the volume at 69 Å³/cell. Its magnetic moment is 0.00 μB/f.u. As for the crystal system: orthorhombic. Its symmetry is Immm (71).

---

Stability, highest: <1>

---

<1>
Material: SbRu2Cl
Method: DFT, PBE
State: relaxed

The structure in POSCAR format:
```
SbRu2Cl
1.0
0.0000 3.2508 3.2508
3.2508 0.0000 3.2508
3.2508 3.2508 0.0000
Sb Ru Cl
1 2 1
Cartesian
0.0000 0.0000 0.0000
3.2508 3.2508 3.2508
4.8763 4.8763 4.8763
1.6254 1.6254 1.6254
```

Calculated values
The calculation puts the volume at 69 Å³/cell. Its magnetic moment is 0.02 μB/f.u. As for the crystal system: cubic. Its symmetry is F-43m (216).

---

<2>
Material: SbRu2Cl
Method: DFT, PBE
State: relaxed

The structure in POSCAR format:
```
SbRu2Cl
1.0
1.5718 -2.7421 0.0000
1.5718 2.7421 0.0000
0.0000 0.0000 8.2509
Sb Ru Cl
1 2 1
Cartesian
0.0000 0.0000 0.0000
1.5718 0.0000 2.0287
1.5718 0.0000 6.2222
0.0000 0.0000 4.1254
```

Calculated values
The calculation puts the volume at 71 Å³/cell. Its magnetic moment is 0.01 μB/f.u. As for the crystal system: orthorhombic. Its symmetry is Cmmm (65).

---

Stability, highest: <2>

---

<1>
Material: SbRu2Cl
Method: DFT, PBE
State: relaxed

The structure in POSCAR format:
```
SbRu2Cl
1.0
-1.8851 1.8851 4.7690
1.8851 -1.8851 4.7690
1.8851 1.8851 -4.7690
Sb Ru Cl
1 2 1
Cartesian
0.0000 0.0000 0.0000
0.0000 0.0000 4.7690
0.0000 1.8851 2.3845
1.8851 0.0000 2.3845
```

Calculated values
The calculation puts the volume at 68 Å³/cell. Its magnetic moment is 0.00 μB/f.u. As for the crystal system: tetragonal. Its symmetry is I-4m2 (119).

---

<2>
Material: SbRu2Cl
Method: DFT, PBE
State: relaxed

The structure in POSCAR format:
```
SbRu2Cl
1.0
2.9766 0.0000 0.0000
0.0000 2.9766 0.0000
0.0000 0.0000 8.8105
Sb Ru Cl
1 2 1
Cartesian
0.0000 0.0000 0.0000
0.0000 0.0000 5.2331
1.4883 1.4883 6.8084
1.4883 1.4883 3.5298
```

Calculated values
The calculation puts the volume at 78 Å³/cell. Its magnetic moment is 0.77 μB/f.u. As for the crystal system: tetragonal. Its symmetry is P4mm (99).

---

Stability, highest: <2>